# 1
Here is TaNi2Br after structural relaxation from Alexandria via LeMat-Bulk. Energies are from GGA-PBE.

* N(E_F): 0.787 states/eV per atom
* uncorrected formation energy: 493 meV/atom
* total energy: -46.2 eV for the cell shown
* polymorph energy (0 for the lowest one): 1.52 eV per formula unit

Cell: 5.080 7.677 3.101 Å, 90.00 90.00 90.00°
Space group Cmmm (No. 65)
Inequivalent atoms, fractional coordinates:
Ta1 0.000 0.000 0.000 x2
Ni1 0.250 0.250 0.500 x4
Br1 0.000 0.500 0.000 x2


# 2
Here is Sc2BeP after structural relaxation from Alexandria via LeMat-Bulk. Energies are from GGA-PBE.

* N(E_F): 0.904 states/eV per atom
* total energy: -47.1 eV for the cell shown
* polymorph energy (0 for the lowest one): 1.62 eV per formula unit
* calculated formation energy: -0.443 eV/atom

Cell: 4.137 4.137 7.475 Å, 90.00 90.00 90.00°
Space group I4/mmm (No. 139)
Inequivalent atoms, fractional coordinates:
Sc1 0.000 0.500 0.250 x4
Be1 0.000 0.000 0.000 x2
P1 0.000 0.000 0.500 x2


# 3
Here is Sm2DyPb2 after structural relaxation from Alexandria via LeMat-Bulk. Energies are from GGA-PBE.

* N(E_F): 0.751 states/eV per atom
* total energy: -92.3 eV for the cell shown
* calculated formation energy: -0.322 eV/atom

Cell: 8.538 12.201 6.511 Å, 90.00 90.00 90.00°
Space group Ibam (No. 72)
Inequivalent atoms, fractional coordinates:
Sm1 0.145 0.145 0.000 x8
Dy1 0.000 0.500 0.250 x4
Pb1 0.226 0.115 0.500 x8


# 4
Here is Ba3LiPd3 after structural relaxation from Alexandria via LeMat-Bulk. Energies are from GGA-PBE.

* N(E_F): 0.476 states/eV per atom
* total energy: -106.2 eV for the cell shown
* calculated formation energy: -0.470 eV/atom

Cell: 12.187 4.505 16.043 Å, 90.00 110.51 90.00°
Space group C2/m (No. 12)
Inequivalent atoms, fractional coordinates:
Ba1 0.023 0.000 0.381 x4
Ba2 0.102 0.000 0.924 x4
Ba3 0.238 0.000 0.231 x4
Li1 0.242 0.500 0.425 x4
Pd1 0.039 0.500 0.233 x4
Pd2 0.106 0.500 0.078 x4
Pd3 0.126 0.500 0.544 x4


# 5
Here is Ag2Hg after structural relaxation from Alexandria via LeMat-Bulk. Energies are from GGA-PBE.

* N(E_F): 0.342 states/eV per atom
* total energy: -11.5 eV for the cell shown
* polymorph energy (0 for the lowest one): 0.12 eV per formula unit
* calculated formation energy: 0.090 eV/atom

Cell: 4.8245 4.8245 5.8784 Å, 90.00 90.00 120.00°
Space group P6_3/mmc (No. 194)
Inequivalent atoms, fractional coordinates:
Ag1 0.0000 0.0000 0.0000 x2
Ag2 0.3333 0.6667 0.2500 x2
Hg1 0.3333 0.6667 0.7500 x2


# 6
Here is CaGeBi3 after structural relaxation from Alexandria via LeMat-Bulk. Energies are from GGA-PBE.

* N(E_F): 1.185 states/eV per atom
* total energy: -17.3 eV for the cell shown
* polymorph energy (0 for the lowest one): 0.00 eV per formula unit
* calculated formation energy: 0.188 eV/atom

Cell: 5.591 5.591 5.591 Å, 90.00 90.00 90.00°
Space group Pm-3m (No. 221)
Inequivalent atoms, fractional coordinates:
Ca1 0.000 0.000 0.000 x1
Ge1 0.500 0.500 0.500 x1
Bi1 0.000 0.500 0.500 x3


# 7
Here is TaCr3B after structural relaxation from Alexandria via LeMat-Bulk. Energies are from GGA-PBE.

* N(E_F): 1.649 states/eV per atom
* total energy: -33.8 eV for the cell shown
* polymorph energy (0 for the lowest one): 12.79 eV per formula unit
* calculated formation energy: 2.715 eV/atom

Cell: 4.453 4.453 4.453 Å, 90.00 90.00 90.00°
Space group Pm-3m (No. 221)
Inequivalent atoms, fractional coordinates:
Ta1 0.000 0.000 0.000 x1
Cr1 0.000 0.000 0.500 x3
B1 0.500 0.500 0.500 x1


# 8
Here is AlFeCu2 after structural relaxation from Alexandria via LeMat-Bulk. Energies are from GGA-PBE.

* N(E_F): 0.668 states/eV per atom
* total energy: -41.0 eV for the cell shown
* calculated formation energy: -0.031 eV/atom

Cell: 2.790 4.264 8.431 Å, 90.00 90.00 90.00°
Space group Imm2 (No. 44)
Inequivalent atoms, fractional coordinates:
Al1 0.000 0.000 0.000 x2
Fe1 0.000 0.500 0.752 x2
Cu1 0.000 0.000 0.505 x2
Cu2 0.000 0.500 0.252 x2